Computed, not measured: a geometry-optimized CrInH2Se structure at the PBE-GGA level of DFT.

## Properties
The value obtained for the uncorrected energy is -19.95 eV for the cell shown. As for the space-group type: P4/mmm (123). The value obtained for the calculated volume is 15.62 Å³ per atom. Its crystal system is tetragonal.

Cell lengths 3.8149, 5.3663, 3.8149 Å; angles 90.00, 90.00, 90.00 degrees
With the nearest neighbours (Å) after each atom.
Sites, in units of the cell vectors:
Cr 0.0000 0.5000 0.0000  2 Se 2.68, 4 In 2.70
H 0.0000 0.0000 0.5000  2 Se 1.91
H 0.5000 0.0000 0.0000  2 Se 1.91
Se 0.0000 0.0000 0.0000  4 H 1.91
In 0.5000 0.5000 0.5000  4 Cr 2.70

=====

Computed, not measured: a geometry-optimized V2CrInH structure at the PBE-GGA level of DFT.

## Properties
The value obtained for the uncorrected energy is -33.43 eV for the cell shown. As for the space-group type: P4/mmm (123). The value obtained for the calculated volume is 12.24 Å³ per atom. Its crystal system is tetragonal.

Cell lengths 3.9042, 3.9042, 4.0134 Å; angles 90.00, 90.00, 90.00 degrees
With the nearest neighbours (Å) after each atom.
Sites, in units of the cell vectors:
Cr 0.0000 0.0000 0.5000  2 H 2.01
V 0.0000 0.5000 0.0000  2 H 1.95
V 0.5000 0.0000 0.0000  2 H 1.95
H 0.0000 0.0000 0.0000  4 V 1.95, 2 Cr 2.01
In 0.5000 0.5000 0.5000  4 Cr 2.76, 8 V 2.80

=====

Computed, not measured: a geometry-optimized Cr2HIr2 structure at the PBE-GGA level of DFT.

## Properties
The value obtained for the uncorrected energy is -36.78 eV for the cell shown. As for the space-group type: I4/mmm (139). The value obtained for the calculated volume is 12.64 Å³ per atom. Its crystal system is tetragonal.

Cell lengths 3.0723, 3.0723, 7.0389 Å; angles 77.39, 77.39, 90.00 degrees
With the nearest neighbours (Å) after each atom.
Sites, in units of the cell vectors:
Cr 0.7500 0.2500 0.5000  4 Cr 2.17
Cr 0.2500 0.7500 0.5000  4 Cr 2.17
Ir 0.4030 0.4030 0.1940  4 H 2.53, 4 Cr 2.56, 1 Ir 2.60
Ir 0.5970 0.5970 0.8060  4 H 2.53, 4 Cr 2.56, 1 Ir 2.60
H 0.0000 0.0000 0.0000  8 Ir 2.53

=====

Please write out number 3 again, unchanged.
Computed, not measured: a geometry-optimized Cr2HIr2 structure at the PBE-GGA level of DFT.

## Properties
The value obtained for the uncorrected energy is -36.78 eV for the cell shown. As for the space-group type: I4/mmm (139). The value obtained for the calculated volume is 12.64 Å³ per atom. Its crystal system is tetragonal.

Cell lengths 3.0723, 3.0723, 7.0389 Å; angles 77.39, 77.39, 90.00 degrees
With the nearest neighbours (Å) after each atom.
Sites, in units of the cell vectors:
Cr 0.7500 0.2500 0.5000  4 Cr 2.17
Cr 0.2500 0.7500 0.5000  4 Cr 2.17
Ir 0.4030 0.4030 0.1940  4 H 2.53, 4 Cr 2.56, 1 Ir 2.60
Ir 0.5970 0.5970 0.8060  4 H 2.53, 4 Cr 2.56, 1 Ir 2.60
H 0.0000 0.0000 0.0000  8 Ir 2.53

=====

What did the second record say?
Computed, not measured: a geometry-optimized V2CrInH structure at the PBE-GGA level of DFT.

## Properties
The value obtained for the uncorrected energy is -33.43 eV for the cell shown. As for the space-group type: P4/mmm (123). The value obtained for the calculated volume is 12.24 Å³ per atom. Its crystal system is tetragonal.

Cell lengths 3.9042, 3.9042, 4.0134 Å; angles 90.00, 90.00, 90.00 degrees
With the nearest neighbours (Å) after each atom.
Sites, in units of the cell vectors:
Cr 0.0000 0.0000 0.5000  2 H 2.01
V 0.0000 0.5000 0.0000  2 H 1.95
V 0.5000 0.0000 0.0000  2 H 1.95
H 0.0000 0.0000 0.0000  4 V 1.95, 2 Cr 2.01
In 0.5000 0.5000 0.5000  4 Cr 2.76, 8 V 2.80